(1)
## Pm4Y3Ho4 (PBE-GGA)

Data for a relaxed Pm4Y3Ho4 crystal.

Lattice parameters (Å, degrees): 10.590 6.686 6.686 50.39 90.00 90.00
Fractional positions:
Pm (0.000, 0.000, 0.000)
Pm (0.207, 0.794, 0.794)
Pm (0.500, 0.925, 0.925)
Pm (0.793, 0.794, 0.794)
Y (0.000, 0.294, 0.294)
Y (0.292, 0.450, 0.450)
Y (0.708, 0.450, 0.450)
Ho (0.000, 0.591, 0.591)
Ho (0.301, 0.143, 0.143)
Ho (0.500, 0.655, 0.655)
Ho (0.699, 0.143, 0.143)

* total moment: 0.000 μB/f.u.
* DOS at the Fermi energy: 17.64 states/eV per cell
* formation enthalpy at 0 K: 144 meV/atom
* relative energy among the computed polymorphs: 1.23 eV/f.u.

=====

(2)
## Pr6AsSe3S2 (PBE-GGA)

Data for a relaxed Pr6AsSe3S2 crystal.

Lattice parameters (Å, degrees): 7.272 7.272 7.396 99.42 99.42 120.01
Fractional positions:
Pr (0.085, 0.422, 0.768)
Pr (0.239, 0.239, 0.232)
Pr (0.422, 0.085, 0.768)
Pr (0.578, 0.915, 0.232)
Pr (0.761, 0.761, 0.768)
Pr (0.915, 0.578, 0.232)
As (0.500, 0.500, 0.000)
Se (0.000, 0.000, 0.500)
Se (0.335, 0.665, 0.500)
Se (0.665, 0.335, 0.500)
S (0.167, 0.833, 0.000)
S (0.833, 0.167, 0.000)

* total moment: 0.000 μB/f.u.
* E: -6.207 eV per atom
* DOS at the Fermi energy: 5.49 states/eV per cell

=====

(3)
## La2SiAs (PBE-GGA)

Data for a relaxed La2SiAs crystal.

Lattice parameters (Å, degrees): 12.367 12.367 4.157 90.00 90.00 159.17
Fractional positions:
La (0.065, 0.935, 0.750)
La (0.312, 0.688, 0.750)
La (0.688, 0.312, 0.250)
La (0.935, 0.065, 0.250)
Si (0.469, 0.531, 0.750)
Si (0.531, 0.469, 0.250)
As (0.188, 0.812, 0.750)
As (0.812, 0.188, 0.250)

* total moment: 0.000 μB/f.u.
* DOS at the Fermi energy: 4.56 states/eV per cell
* relative energy among the computed polymorphs: 0.00 eV/f.u.

=====

(4)
## NiBrCl2 (PBE-GGA)

Data for a relaxed NiBrCl2 crystal.

Lattice parameters (Å, degrees): 2.782 3.344 10.129 90.00 90.00 90.00
Fractional positions:
Ni (0.000, 0.000, 0.000)
Br (0.500, 0.500, 0.251)
Cl (0.000, 0.000, 0.603)
Cl (0.500, 0.500, 0.910)

* total moment: 1.384 μB/f.u.
* DOS at the Fermi energy: 3.97 states/eV per cell
* relative energy among the computed polymorphs: 2.49 eV/f.u.

=====

(5)
## LaCdTcO6 (PBE-GGA)

Data for a relaxed LaCdTcO6 crystal.

Lattice parameters (Å, degrees): 5.547 5.547 5.012 90.00 90.00 120.00
Fractional positions:
La (0.000, 0.000, 0.000)
Cd (0.333, 0.667, 0.500)
Tc (0.667, 0.333, 0.500)
O (0.385, 0.052, 0.719)
O (0.385, 0.333, 0.281)
O (0.667, 0.052, 0.281)
O (0.667, 0.615, 0.719)
O (0.948, 0.333, 0.719)
O (0.948, 0.615, 0.281)

* total moment: 0.000 μB/f.u.
* E: -6.867 eV per atom

=====

(6)
## YAlP2S (PBE-GGA)

Data for a relaxed YAlP2S crystal.

Lattice parameters (Å, degrees): 5.314 5.314 5.177 90.00 90.00 90.00
Fractional positions:
Y (0.000, 0.000, 0.000)
Al (0.500, 0.500, 0.500)
P (0.000, 0.500, 0.000)
P (0.500, 0.000, 0.000)
S (0.000, 0.000, 0.500)

* total moment: 0.513 μB/f.u.
* DOS at the Fermi energy: 6.01 states/eV per cell
* relative energy among the computed polymorphs: 3.73 eV/f.u.

=====

(7)
## GeHO2F (PBE-GGA)

Data for a relaxed GeHO2F crystal.

Lattice parameters (Å, degrees): 3.637 3.637 3.903 90.00 90.00 90.00
Fractional positions:
Ge (0.000, 0.000, 0.000)
H (0.500, 0.500, 0.500)
O (0.000, 0.500, 0.000)
O (0.500, 0.000, 0.000)
F (0.000, 0.000, 0.500)

* total moment: 0.501 μB/f.u.
* E: -4.492 eV per atom
* DOS at the Fermi energy: 1.49 states/eV per cell

=====

(8)
## MnGa4Rh3 (PBE-GGA)

Data for a relaxed MnGa4Rh3 crystal.

Lattice parameters (Å, degrees): 2.976 2.976 12.586 90.00 90.00 90.00
Fractional positions:
Mn (0.000, 0.000, 0.000)
Ga (0.500, 0.500, 0.126)
Ga (0.500, 0.500, 0.375)
Ga (0.500, 0.500, 0.625)
Ga (0.500, 0.500, 0.874)
Rh (0.000, 0.000, 0.253)
Rh (0.000, 0.000, 0.500)
Rh (0.000, 0.000, 0.747)

* total moment: 2.352 μB/f.u.
* DOS at the Fermi energy: 2.74 states/eV per cell
* formation enthalpy at 0 K: -530 meV/atom